Record 1
A relaxed structure of TcPbSe2, computed with GGA-PBEsol.

The theoretical density is 8.283 g cm⁻³. The calculation puts the calculated volume at 23.2 Å³ per atom. For the uncorrected formation energy, the calculation gives -4.0 kJ/mol of formula units. The density of states at the Fermi level comes out at 5.9 states/eV/cell. The value obtained for the energy above the most stable polymorph in this dataset is 0 meV per atom.

Cell lengths 11.295, 3.103, 5.741 Å; angles 90.00, 112.65, 90.00 degrees
Space group Cm (No. 8)
Symmetry-distinct sites (fractional):
Tc: 0.000 0.000 0.000
Pb: 0.301 0.000 0.593
Se: 0.152 0.500 0.951
Se: 0.478 0.000 0.303

---

Record 2
A relaxed structure of Fe3Co, computed with GGA-PBEsol.

The theoretical density is 8.725 g cm⁻³. The formation energy comes out at 47 meV/atom. The calculation puts the calculated volume at 10.8 Å³ per atom. The density of states at the Fermi level comes out at 18.5 states/eV/cell.

Cell lengths 2.780, 3.938, 15.748 Å; angles 90.00, 90.00, 90.00 degrees
Space group Cmme (No. 67)
Symmetry-distinct sites (fractional):
Fe: 0.000 0.250 0.062
Fe: 0.000 0.250 0.313
Fe: 0.000 0.250 0.813
Co: 0.000 0.250 0.562